[1]
Here is crystalline ErPaTcPt at its relaxed geometry from Alexandria. Energies are from PBE.

Properties
ρ: 13.9 g cm⁻³
VASP energy: -32.620 eV per cell
Space-group type: No. 216

Cell: 4.886 4.886 4.886 Å, 60.00 60.00 60.00°
Fractional coordinates of all 4 atoms:
Pa 0.000 0.000 0.000
Tc 0.250 0.250 0.250
Pt 0.750 0.750 0.750
Er 0.500 0.500 0.500



[2]
Here is crystalline Tb2PmYTm2 at its relaxed geometry from Alexandria. Energies are from PBE.

Properties
ρ: 7.8 g cm⁻³
VASP energy: -57.994 eV per cell
Space-group type: No. 58

Cell: 5.611 9.738 6.951 Å, 90.00 90.00 90.00°
Fractional coordinates of all 12 atoms:
Tb 0.500 0.833 0.252
Tb 0.500 0.167 0.748
Tb 0.000 0.667 0.752
Tb 0.000 0.333 0.248
Pm 0.000 0.000 0.000
Pm 0.500 0.500 0.500
Y 0.500 0.500 0.000
Y 0.000 0.000 0.500
Tm 0.500 0.167 0.250
Tm 0.000 0.667 0.250
Tm 0.500 0.833 0.750
Tm 0.000 0.333 0.750



[3]
Here is crystalline TiZnGaAg at its relaxed geometry from Alexandria. Energies are from PBE.

Properties
ρ: 7.5 g cm⁻³
VASP energy: -15.405 eV per cell
Space-group type: No. 216

Cell: 4.499 4.499 4.499 Å, 60.00 60.00 60.00°
Fractional coordinates of all 4 atoms:
Zn 0.000 0.000 0.000
Ga 0.500 0.500 0.500
Ag 0.750 0.750 0.750
Ti 0.250 0.250 0.250



[4]
Here is crystalline PtCN2 at its relaxed geometry from Alexandria. Energies are from PBE.

Properties
ρ: 5.9 g cm⁻³
VASP energy: -29.880 eV per cell
Space-group type: No. 65
Formation energy from raw total energies: 509 meV per atom

Cell: 3.166 4.420 5.084 Å, 90.00 90.00 110.99°
Fractional coordinates of all 4 atoms:
C 0.500 0.000 0.500
Pt 0.000 0.000 0.000
N 0.500 0.000 0.257
N 0.500 0.000 0.743